A geometry-optimized Cd2Au2O5 structure. Source: OQMD via LeMat-Bulk, functional GGA-PBE.

The space group is P4/mmm (No. 123) and the conventional cell measures 3.702, 3.702 and 9.143 Å, with angles of 90.00, 90.00 and 90.00 degrees. The inequivalent atoms are Cd at (0.000, 0.000, 0.234), Au at (0.500, 0.500, 0.000), Au at (0.500, 0.500, 0.500), O at (0.000, 0.000, 0.000) and O at (0.000, 0.500, 0.367).

The calculation puts the excess energy over the best structure of this formula in the dataset at 87.9 meV per atom.